This record from the Alexandria database describes PmPrSm2 after structural relaxation. The functional is PBE-GGA.

Values from the calculation:
D(E_F) = 1.388 states/eV/atom
Formation energy = 0.043 eV/atom
Mass density = 7.037 g/cm3
Volume = 138.43 Å³ per cell
Distance to the lowest polymorph of the same formula = 45 meV/atom
Electronic total energy = -4.699 eV/atom

Cell lengths 5.701, 7.007, 7.007 Å; angles 29.64, 90.00, 90.00 degrees
Element x y z (fractional)
Pm1 0.000 0.000 0.000
Pr1 0.500 0.355 0.355
Sm1 0.000 0.739 0.739
Sm2 0.500 0.613 0.613